P) {"formula": "LiB3O", "functional": "PBE", "state": "optimized geometry", "density_g_cm3": 1.94, "lattice": [[3.622, 0.000, 0.000], [0.000, 3.622, 0.000], [0.000, 0.000, 3.622]], "species": ["Li", "B", "B", "B", "O"], "frac_coords": [[0.000, 0.000, 0.000], [0.000, 0.500, 0.500], [0.500, 0.000, 0.500], [0.500, 0.500, 0.000], [0.500, 0.500, 0.500]]}

Q) {"formula": "LiB3O", "functional": "PBE", "state": "optimized geometry", "density_g_cm3": 1.93, "lattice": [[3.626, 0.000, 0.000], [0.000, 3.626, 0.000], [0.000, 0.000, 3.626]], "species": ["Li", "B", "B", "B", "O"], "frac_coords": [[0.000, 0.000, 0.000], [0.000, 0.000, 0.500], [0.000, 0.500, 0.000], [0.500, 0.000, 0.000], [0.500, 0.500, 0.500]]}

Most stable to least stable: P), Q)

P) {"formula": "Li2BO", "functional": "PBE", "state": "optimized geometry", "density_g_cm3": 1.77, "lattice": [[5.345, 0.000, 0.000], [0.000, 5.345, 0.000], [0.000, 0.000, 5.345]], "species": ["Li", "Li", "Li", "Li", "Li", "Li", "Li", "Li", "B", "B", "B", "B", "O", "O", "O", "O"], "frac_coords": [[0.250, 0.250, 0.250], [0.250, 0.250, 0.750], [0.250, 0.750, 0.250], [0.250, 0.750, 0.750], [0.750, 0.250, 0.250], [0.750, 0.250, 0.750], [0.750, 0.750, 0.250], [0.750, 0.750, 0.750], [0.000, 0.000, 0.000], [0.000, 0.500, 0.500], [0.500, 0.000, 0.500], [0.500, 0.500, 0.000], [0.000, 0.000, 0.500], [0.000, 0.500, 0.000], [0.500, 0.000, 0.000], [0.500, 0.500, 0.500]]}

Q) {"formula": "Li2BO", "functional": "PBE", "state": "optimized geometry", "density_g_cm3": 1.45, "lattice": [[7.877, 0.000, 0.000], [0.000, 7.877, 0.000], [0.000, 0.000, 3.010]], "species": ["Li", "Li", "Li", "Li", "Li", "Li", "Li", "Li", "B", "B", "B", "B", "O", "O", "O", "O"], "frac_coords": [[0.078, 0.250, 0.125], [0.250, 0.578, 0.375], [0.250, 0.922, 0.875], [0.422, 0.250, 0.625], [0.578, 0.750, 0.625], [0.750, 0.078, 0.875], [0.750, 0.422, 0.375], [0.922, 0.750, 0.125], [0.000, 0.000, 0.500], [0.000, 0.500, 0.750], [0.500, 0.000, 0.250], [0.500, 0.500, 0.000], [0.000, 0.000, 0.000], [0.000, 0.500, 0.250], [0.500, 0.000, 0.750], [0.500, 0.500, 0.500]]}

Most stable to least stable: Q), P)

P) {"formula": "Li6B4O9", "functional": "PBE", "state": "optimized geometry", "density_g_cm3": 2.04, "lattice": [[3.395, 0.000, 0.000], [0.000, 23.732, 0.000], [-3.250, 0.000, 9.245]], "species": ["Li", "Li", "Li", "Li", "Li", "Li", "Li", "Li", "Li", "Li", "Li", "Li", "Li", "Li", "Li", "Li", "Li", "Li", "Li", "Li", "Li", "Li", "Li", "Li", "B", "B", "B", "B", "B", "B", "B", "B", "B", "B", "B", "B", "B", "B", "B", "B", "O", "O", "O", "O", "O", "O", "O", "O", "O", "O", "O", "O", "O", "O", "O", "O", "O", "O", "O", "O", "O", "O", "O", "O", "O", "O", "O", "O", "O", "O", "O", "O", "O", "O", "O", "O"], "frac_coords": [[0.078, 0.206, 0.301], [0.078, 0.294, 0.801], [0.181, 0.559, 0.458], [0.181, 0.941, 0.958], [0.242, 0.042, 0.489], [0.242, 0.458, 0.989], [0.299, 0.144, 0.021], [0.299, 0.356, 0.521], [0.367, 0.705, 0.649], [0.367, 0.795, 0.149], [0.405, 0.619, 0.178], [0.405, 0.881, 0.678], [0.595, 0.119, 0.322], [0.595, 0.381, 0.822], [0.633, 0.205, 0.851], [0.633, 0.295, 0.351], [0.701, 0.644, 0.479], [0.701, 0.856, 0.979], [0.758, 0.542, 0.011], [0.758, 0.958, 0.511], [0.819, 0.059, 0.042], [0.819, 0.441, 0.542], [0.922, 0.706, 0.199], [0.922, 0.794, 0.699], [0.335, 0.148, 0.564], [0.335, 0.352, 0.064], [0.362, 0.243, 0.083], [0.362, 0.257, 0.583], [0.423, 0.587, 0.703], [0.423, 0.913, 0.203], [0.490, 0.023, 0.237], [0.490, 0.477, 0.737], [0.510, 0.523, 0.263], [0.510, 0.977, 0.763], [0.577, 0.087, 0.797], [0.577, 0.413, 0.297], [0.638, 0.743, 0.417], [0.638, 0.757, 0.917], [0.665, 0.648, 0.936], [0.665, 0.852, 0.436], [0.187, 0.140, 0.420], [0.187, 0.360, 0.920], [0.216, 0.232, 0.939], [0.216, 0.268, 0.439], [0.310, 0.625, 0.594], [0.310, 0.875, 0.094], [0.357, 0.527, 0.117], [0.357, 0.973, 0.617], [0.377, 0.530, 0.662], [0.377, 0.970, 0.162], [0.417, 0.099, 0.650], [0.417, 0.401, 0.150], [0.418, 0.200, 0.637], [0.418, 0.300, 0.137], [0.420, 0.069, 0.146], [0.420, 0.431, 0.646], [0.469, 0.203, 0.188], [0.469, 0.297, 0.688], [0.531, 0.703, 0.312], [0.531, 0.797, 0.812], [0.580, 0.569, 0.354], [0.580, 0.931, 0.854], [0.582, 0.700, 0.863], [0.582, 0.800, 0.363], [0.583, 0.599, 0.850], [0.583, 0.901, 0.350], [0.623, 0.030, 0.838], [0.623, 0.470, 0.338], [0.643, 0.027, 0.383], [0.643, 0.473, 0.883], [0.690, 0.125, 0.906], [0.690, 0.375, 0.406], [0.784, 0.732, 0.561], [0.784, 0.768, 0.061], [0.813, 0.640, 0.080], [0.813, 0.860, 0.580]]}

Q) {"formula": "Li6B4O9", "functional": "PBE", "state": "optimized geometry", "density_g_cm3": 1.93, "lattice": [[6.704, 0.000, 0.000], [-1.101, 7.025, 0.000], [-1.603, -0.853, 8.371]], "species": ["Li", "Li", "Li", "Li", "Li", "Li", "Li", "Li", "Li", "Li", "Li", "Li", "B", "B", "B", "B", "B", "B", "B", "B", "O", "O", "O", "O", "O", "O", "O", "O", "O", "O", "O", "O", "O", "O", "O", "O", "O", "O"], "frac_coords": [[0.059, 0.197, 0.024], [0.066, 0.054, 0.381], [0.112, 0.681, 0.711], [0.242, 0.661, 0.439], [0.375, 0.466, 0.858], [0.389, 0.294, 0.270], [0.611, 0.706, 0.730], [0.625, 0.534, 0.142], [0.758, 0.339, 0.561], [0.888, 0.319, 0.289], [0.934, 0.946, 0.619], [0.941, 0.803, 0.976], [0.232, 0.583, 0.067], [0.271, 0.902, 0.212], [0.274, 0.372, 0.568], [0.348, 0.041, 0.646], [0.652, 0.959, 0.354], [0.726, 0.628, 0.432], [0.729, 0.098, 0.788], [0.768, 0.417, 0.933], [0.113, 0.992, 0.164], [0.158, 0.654, 0.930], [0.183, 0.326, 0.412], [0.196, 0.911, 0.554], [0.251, 0.702, 0.217], [0.313, 0.417, 0.074], [0.323, 0.556, 0.639], [0.328, 0.233, 0.675], [0.467, 0.015, 0.280], [0.533, 0.985, 0.720], [0.672, 0.767, 0.325], [0.677, 0.444, 0.361], [0.687, 0.583, 0.926], [0.749, 0.298, 0.783], [0.804, 0.089, 0.446], [0.817, 0.674, 0.588], [0.842, 0.346, 0.070], [0.887, 0.008, 0.836]]}

Most stable to least stable: P), Q)

P) {"formula": "Li3SnB2O6", "functional": "PBE", "state": "optimized geometry", "density_g_cm3": 3.30, "lattice": [[8.877, 0.000, 0.000], [0.000, 6.459, 0.000], [-4.474, 0.000, 9.025]], "species": ["Li", "Li", "Li", "Li", "Li", "Li", "Li", "Li", "Li", "Li", "Li", "Li", "Sn", "Sn", "Sn", "Sn", "B", "B", "B", "B", "B", "B", "B", "B", "O", "O", "O", "O", "O", "O", "O", "O", "O", "O", "O", "O", "O", "O", "O", "O", "O", "O", "O", "O", "O", "O", "O", "O"], "frac_coords": [[0.105, 0.248, 0.481], [0.105, 0.252, 0.981], [0.206, 0.562, 0.167], [0.206, 0.938, 0.667], [0.341, 0.721, 0.543], [0.341, 0.779, 0.043], [0.659, 0.221, 0.957], [0.659, 0.279, 0.457], [0.794, 0.062, 0.333], [0.794, 0.438, 0.833], [0.895, 0.748, 0.019], [0.895, 0.752, 0.519], [0.309, 0.037, 0.305], [0.309, 0.463, 0.805], [0.691, 0.537, 0.195], [0.691, 0.963, 0.695], [0.041, 0.661, 0.821], [0.041, 0.839, 0.321], [0.452, 0.169, 0.120], [0.452, 0.331, 0.620], [0.548, 0.669, 0.380], [0.548, 0.831, 0.880], [0.959, 0.161, 0.679], [0.959, 0.339, 0.179], [0.090, 0.702, 0.710], [0.090, 0.798, 0.210], [0.115, 0.210, 0.686], [0.115, 0.290, 0.186], [0.159, 0.558, 0.946], [0.159, 0.942, 0.446], [0.298, 0.069, 0.064], [0.298, 0.431, 0.564], [0.440, 0.650, 0.233], [0.440, 0.850, 0.733], [0.497, 0.204, 0.530], [0.497, 0.296, 0.030], [0.503, 0.704, 0.970], [0.503, 0.796, 0.470], [0.560, 0.150, 0.267], [0.560, 0.350, 0.767], [0.702, 0.569, 0.436], [0.702, 0.931, 0.936], [0.841, 0.058, 0.554], [0.841, 0.442, 0.054], [0.885, 0.710, 0.814], [0.885, 0.790, 0.314], [0.910, 0.202, 0.790], [0.910, 0.298, 0.290]]}

Q) {"formula": "Li3SnB2O6", "functional": "PBE", "state": "optimized geometry", "density_g_cm3": 3.10, "lattice": [[5.008, 0.000, 0.000], [0.047, 7.299, 0.000], [0.329, 2.964, 7.525]], "species": ["Li", "Li", "Li", "Li", "Li", "Li", "Sn", "Sn", "B", "B", "B", "B", "O", "O", "O", "O", "O", "O", "O", "O", "O", "O", "O", "O"], "frac_coords": [[0.171, 0.241, 0.382], [0.179, 0.938, 0.750], [0.322, 0.088, 0.061], [0.678, 0.912, 0.939], [0.821, 0.062, 0.250], [0.829, 0.759, 0.618], [0.368, 0.446, 0.671], [0.632, 0.554, 0.329], [0.153, 0.688, 0.108], [0.338, 0.869, 0.426], [0.662, 0.131, 0.574], [0.847, 0.312, 0.892], [0.130, 0.313, 0.888], [0.197, 0.016, 0.310], [0.221, 0.742, 0.591], [0.272, 0.521, 0.230], [0.292, 0.844, 0.994], [0.394, 0.168, 0.612], [0.606, 0.832, 0.388], [0.708, 0.156, 0.006], [0.728, 0.479, 0.770], [0.779, 0.258, 0.409], [0.803, 0.984, 0.690], [0.870, 0.687, 0.112]]}

Most stable to least stable: Q), P)

P) {"formula": "Li2SnBO4", "functional": "PBE", "state": "optimized geometry", "density_g_cm3": 3.51, "lattice": [[7.600, 0.000, 0.000], [0.000, 5.093, 0.000], [-1.618, 0.000, 10.136]], "species": ["Li", "Li", "Li", "Li", "Li", "Li", "Li", "Li", "Sn", "Sn", "Sn", "Sn", "B", "B", "B", "B", "O", "O", "O", "O", "O", "O", "O", "O", "O", "O", "O", "O", "O", "O", "O", "O"], "frac_coords": [[0.092, 0.151, 0.295], [0.092, 0.349, 0.795], [0.195, 0.175, 0.575], [0.195, 0.325, 0.075], [0.805, 0.675, 0.925], [0.805, 0.825, 0.425], [0.908, 0.651, 0.205], [0.908, 0.849, 0.705], [0.494, 0.121, 0.877], [0.494, 0.379, 0.377], [0.506, 0.621, 0.623], [0.506, 0.879, 0.123], [0.166, 0.685, 0.438], [0.166, 0.815, 0.938], [0.834, 0.185, 0.062], [0.834, 0.315, 0.562], [0.032, 0.685, 0.863], [0.032, 0.815, 0.363], [0.203, 0.080, 0.917], [0.203, 0.420, 0.417], [0.276, 0.676, 0.041], [0.276, 0.824, 0.541], [0.381, 0.149, 0.228], [0.381, 0.351, 0.728], [0.619, 0.649, 0.272], [0.619, 0.851, 0.772], [0.724, 0.176, 0.459], [0.724, 0.324, 0.959], [0.797, 0.580, 0.583], [0.797, 0.920, 0.083], [0.968, 0.185, 0.637], [0.968, 0.315, 0.137]]}

Q) {"formula": "Li2SnBO4", "functional": "PBE", "state": "optimized geometry", "density_g_cm3": 4.02, "lattice": [[4.562, 0.000, 0.000], [0.000, 4.562, 0.000], [0.000, 0.000, 8.237]], "species": ["Li", "Li", "Li", "Li", "Sn", "Sn", "B", "B", "O", "O", "O", "O", "O", "O", "O", "O"], "frac_coords": [[0.000, 0.000, 0.000], [0.000, 0.500, 0.250], [0.500, 0.000, 0.750], [0.500, 0.500, 0.500], [0.000, 0.000, 0.500], [0.500, 0.500, 0.000], [0.000, 0.500, 0.750], [0.500, 0.000, 0.250], [0.179, 0.289, 0.851], [0.211, 0.679, 0.649], [0.289, 0.821, 0.149], [0.321, 0.211, 0.351], [0.679, 0.789, 0.351], [0.711, 0.179, 0.149], [0.789, 0.321, 0.649], [0.821, 0.711, 0.851]]}

Most stable to least stable: P), Q)

P) {"formula": "SrLiBO3", "functional": "PBE", "state": "optimized geometry", "density_g_cm3": 3.48, "lattice": [[6.665, 0.000, 0.000], [0.000, 6.705, 0.000], [-4.403, 0.000, 6.552]], "species": ["Sr", "Sr", "Sr", "Sr", "Li", "Li", "Li", "Li", "B", "B", "B", "B", "O", "O", "O", "O", "O", "O", "O", "O", "O", "O", "O", "O"], "frac_coords": [[0.163, 0.120, 0.370], [0.163, 0.380, 0.870], [0.837, 0.620, 0.130], [0.837, 0.880, 0.630], [0.409, 0.597, 0.309], [0.409, 0.903, 0.809], [0.591, 0.097, 0.191], [0.591, 0.403, 0.691], [0.261, 0.629, 0.574], [0.261, 0.871, 0.074], [0.739, 0.129, 0.926], [0.739, 0.371, 0.426], [0.111, 0.706, 0.007], [0.111, 0.794, 0.507], [0.245, 0.011, 0.936], [0.245, 0.489, 0.436], [0.435, 0.602, 0.782], [0.435, 0.898, 0.282], [0.565, 0.102, 0.718], [0.565, 0.398, 0.218], [0.755, 0.511, 0.564], [0.755, 0.989, 0.064], [0.889, 0.206, 0.493], [0.889, 0.294, 0.993]]}

Q) {"formula": "SrLiBO3", "functional": "PBE", "state": "optimized geometry", "density_g_cm3": 3.73, "lattice": [[5.289, 0.000, 0.000], [-2.645, 4.581, 0.000], [0.000, 0.000, 5.632]], "species": ["Sr", "Sr", "Li", "Li", "B", "B", "O", "O", "O", "O", "O", "O"], "frac_coords": [[0.333, 0.667, 0.250], [0.667, 0.333, 0.750], [0.000, 0.000, 0.000], [0.000, 0.000, 0.500], [0.333, 0.667, 0.750], [0.667, 0.333, 0.250], [0.182, 0.364, 0.750], [0.182, 0.818, 0.750], [0.364, 0.182, 0.250], [0.636, 0.818, 0.750], [0.818, 0.182, 0.250], [0.818, 0.636, 0.250]]}

Most stable to least stable: P), Q)